(1)
A relaxed structure of ScHg2Se. Source: Alexandria via LeMat-Bulk, functional PBE.

The structure in POSCAR format:
```
ScHg2Se
1.0
-1.5851 1.1564 3.5166
1.3710 -3.3653 1.7246
4.8476 2.6483 1.3141
Hg Sc Se
2 1 1
Cartesian
2.4157 1.3198 0.6549 Hg
0.0080 0.0044 0.0022 Hg
1.1049 -0.4424 2.9491 Sc
3.5287 0.8818 3.6062 Se
```

Summary:
* total magnetic moment: 0.00 μB per formula unit
* ΔE_f (raw): -0.2659 eV/atom
* raw total energy: -2.871 eV per atom



(2)
A relaxed structure of GeTe2N. Source: Alexandria via LeMat-Bulk, functional PBE.

The structure in POSCAR format:
```
GeTe2N
1.0
4.5830 -0.2174 1.3896
2.3058 4.0000 1.2905
1.1480 0.7279 4.5972
Te N Ge
2 1 1
Cartesian
6.0276 3.3828 5.4580 Te
2.0092 1.1276 1.8193 Te
0.0000 0.0000 0.0000 N
4.0184 2.2552 3.6386 Ge
```

Summary:
* total magnetic moment: 0.57 μB per formula unit
* ΔE_f (raw): 1.2502 eV/atom
* raw total energy: -3.556 eV per atom